# GGA-PBE Ca3LaSn12, relaxed
# - Electronic total energy: -65.84 eV for the cell shown
# - Calculated formation energy: -0.43 eV/atom
data_Ca3LaSn12
_cell_length_a 4.762
_cell_length_b 4.762
_cell_length_c 19.175
_cell_angle_alpha 90.00
_cell_angle_beta 90.00
_cell_angle_gamma 90.00
_space_group_name_H-M_alt 'P 4/m m m'
_space_group_IT_number 123
_space_group_name_Hall '-P 4 2'
loop_
_atom_site_label
_atom_site_type_symbol
_atom_site_fract_x
_atom_site_fract_y
_atom_site_fract_z
_atom_site_occupancy
Ca1 Ca 0.000 0.000 0.000 1
Ca2 Ca 0.000 0.000 0.249 1
La1 La 0.000 0.000 0.500 1
Sn1 Sn 0.000 0.500 0.124 1
Sn2 Sn 0.000 0.500 0.372 1
Sn3 Sn 0.500 0.500 0.000 1
Sn4 Sn 0.500 0.500 0.248 1
Sn5 Sn 0.500 0.500 0.500 1